Entry 1:
Li2CoHSe | GGA-PBE | relaxed

a b c (Å): 3.8763 3.8763 3.6738
angles (deg): 90.00 90.00 90.00
Fractional positions:
Li  0.0000  0.5000  0.0000
Li  0.5000  0.0000  0.0000
Co  0.0000  0.0000  0.5000
H  0.0000  0.0000  0.0000
Se  0.5000  0.5000  0.5000

E_tot, eV per atom: -3.963
DOS at the Fermi energy, states/eV per cell: 2.41
Space-group type: P4/mmm (123)
Crystal system: tetragonal

Entry 2:
LiSm2CoH6 | GGA-PBE | relaxed

a b c (Å): 4.9353 4.9353 4.6320
angles (deg): 90.00 90.00 120.00
Fractional positions:
Li  0.0000  0.0000  0.0000
Sm  0.3333  0.6667  0.7375
Sm  0.6667  0.3333  0.2625
Co  0.0000  0.0000  0.5000
H  0.1595  0.3189  0.2843
H  0.1595  0.8405  0.2843
H  0.3189  0.1595  0.7157
H  0.6811  0.8405  0.2843
H  0.8405  0.1595  0.7157
H  0.8405  0.6811  0.7157

E_tot, eV per atom: -4.241
DOS at the Fermi energy, states/eV per cell: 2.31
Space-group type: P-3m1 (164)
Crystal system: trigonal